Crystalline La12PmSn4N3 at its relaxed geometry, computed with PBE.

Calculated values
The calculation puts the final energy at -5.90 eV/atom.

abc: 8.9979 8.9979 8.9979
angles: 109.47 109.47 109.47
Last column: nearest neighbours and their distance in Å.
Element x y z (fractional)
N 0.5000 0.5000 0.0000  6 La 2.36-2.60
N 0.5000 0.0000 0.5000  6 La 2.36-2.60
N 0.0000 0.5000 0.5000  6 La 2.36-2.60
La 0.2500 0.5000 0.7500  2 N 2.60
La 0.7500 0.2500 0.5000  2 N 2.60
La 0.7271 0.7271 0.0000  1 N 2.36
La 0.5000 0.2500 0.7500  2 N 2.60
La 0.7500 0.5000 0.2500  2 N 2.60
La 0.2729 0.2729 0.0000  1 N 2.36
La 0.5000 0.7500 0.2500  2 N 2.60
La 0.0000 0.2729 0.2729  1 N 2.36
La 0.2500 0.7500 0.5000  2 N 2.60
La 0.7271 0.0000 0.7271  1 N 2.36
La 0.2729 0.0000 0.2729  1 N 2.36
La 0.0000 0.7271 0.7271  1 N 2.36
Sn 0.5000 0.0000 0.0000  12 La 3.67-3.68
Sn 0.0000 0.5000 0.0000  12 La 3.67-3.68
Sn 0.5000 0.5000 0.5000  12 La 3.67-3.68
Sn 0.0000 0.0000 0.5000  12 La 3.67-3.68
Pm 0.0000 0.0000 0.0000  6 La 2.84

---

Crystalline LaPm2SnN4 at its relaxed geometry, computed with PBE.

Calculated values
The calculation puts the final energy at -7.29 eV/atom.

abc: 3.6717 6.3246 12.3580
angles: 90.00 90.00 106.87
Last column: nearest neighbours and their distance in Å.
Element x y z (fractional)
Pm 0.6290 0.2580 0.4625  3 N 2.35-2.45
Pm 0.3710 0.7420 0.5375  3 N 2.35-2.45
Pm 0.3710 0.7420 0.9625  3 N 2.35-2.45
Pm 0.6290 0.2580 0.0375  3 N 2.35-2.45
Sn 0.1538 0.3077 0.2500  4 N 2.10-2.16
Sn 0.8462 0.6923 0.7500  4 N 2.10-2.16
N 0.2719 0.5439 0.1256  1 Sn 2.10, 1 Pm 2.35
N 0.2719 0.5439 0.3744  1 Sn 2.10, 1 Pm 2.35
N 0.0000 0.0000 0.0000  4 Pm 2.45
N 0.0000 0.0000 0.5000  4 Pm 2.45
N 0.7281 0.4561 0.6256  1 Sn 2.10, 1 Pm 2.35
N 0.4401 0.8801 0.7500  2 Sn 2.16
N 0.5599 0.1199 0.2500  2 Sn 2.16
N 0.7281 0.4561 0.8744  1 Sn 2.10, 1 Pm 2.35
La 0.1095 0.2191 0.7500  6 N 2.75-2.79
La 0.8905 0.7809 0.2500  6 N 2.75-2.79

---

Crystalline LaPm2SnN at its relaxed geometry, computed with PBE.

Calculated values
The calculation puts the final energy at -6.34 eV/atom.

abc: 5.0541 4.9982 4.9982
angles: 90.00 90.00 90.00
Last column: nearest neighbours and their distance in Å.
Element x y z (fractional)
Sn 0.5000 0.5000 0.5000  4 La 3.53, 8 Pm 3.55
Pm 0.0000 0.0000 0.5000  2 N 2.50
Pm 0.0000 0.5000 0.0000  2 N 2.50
La 0.5000 0.0000 0.0000  2 N 2.53
N 0.0000 0.0000 0.0000  4 Pm 2.50, 2 La 2.53

---

Crystalline LaPmTaN4 at its relaxed geometry, computed with PBE.

Calculated values
The calculation puts the final energy at -8.99 eV/atom.

abc: 4.0710 4.0710 6.9020
angles: 107.15 107.15 90.00
Last column: nearest neighbours and their distance in Å.
Element x y z (fractional)
Ta 0.0025 0.0025 0.0051  6 N 2.04-2.16
Pm 0.3591 0.3591 0.7183  5 N 2.39-2.66
N 0.1688 0.1688 0.3376  1 Ta 2.09
N 0.8306 0.8306 0.6613  1 Ta 2.16, 1 La 2.30
N 0.9959 0.4959 0.9918  2 Ta 2.04
N 0.4959 0.9959 0.9918  2 Ta 2.04
La 0.6471 0.6471 0.2943  1 N 2.30

---

- Look up the final energy of the third one.
  -6.34 eV/atom